Record 1
CaZnTcB2: relaxed, GGA-PBE.

Output
Calculated volume, Å³/cell: 86.8
Calculated formation energy, eV/atom: 2.638
E, eV/atom: -2.762

Cell: 4.228 4.228 4.853 Å, 90.00 90.00 90.00°
Space group P4/mmm (No. 123)
Symmetry-distinct sites (fractional):
Ca: 0.000 0.000 0.000 x1
Zn: 0.000 0.000 0.500 x1
Tc: 0.500 0.500 0.500 x1
B: 0.000 0.500 0.000 x2

---

Record 2
Rb3NiI6: relaxed, GGA-PBE.

Output
Calculated volume, Å³/cell: 920.4
E, eV/atom: -2.604
ΔE_f (raw), eV per atom: -0.81
Energy above the most stable polymorph in this dataset, kJ/mol of formula units: 39

Cell: 8.671 8.671 12.242 Å, 90.00 90.00 90.00°
Space group I4/mmm (No. 139)
Symmetry-distinct sites (fractional):
Rb: 0.000 0.000 0.000 x2
Rb: 0.000 0.500 0.250 x4
Ni: 0.000 0.000 0.500 x2
I: 0.000 0.000 0.281 x4
I: 0.219 0.219 0.500 x8

---

Record 3
Li2Nd4Tl: relaxed, GGA-PBE.

Output
Calculated volume, Å³/cell: 609.6
Calculated formation energy, eV/atom: 0.020
E, eV/atom: -3.589

Cell: 5.4481 5.4481 23.7128 Å, 90.00 90.00 120.00°
Space group R-3m (No. 166, hexagonal axes)
Symmetry-distinct sites (fractional):
Li: 0.0000 0.0000 0.2164 x6
Nd: 0.0000 0.0000 0.0788 x6
Nd: 0.0000 0.0000 0.3579 x6
Tl: 0.0000 0.0000 0.5000 x3

---

Record 4
BeCu2Pb: relaxed, GGA-PBE.

Output
Calculated volume, Å³/cell: 132.9
Calculated formation energy, eV/atom: 0.244
E, eV/atom: -3.663
Energy above the most stable polymorph in this dataset, kJ/mol of formula units: 0

Cell: 6.750 3.890 5.497 Å, 90.00 112.95 90.00°
Space group C2/m (No. 12)
Symmetry-distinct sites (fractional):
Be: 0.000 0.000 0.000 x2
Cu: 0.200 0.500 0.105 x4
Pb: 0.000 0.500 0.500 x2

---

Record 5
BaSn4Hg12: relaxed, GGA-PBE.

Output
Calculated volume, Å³/cell: 1051.0
Calculated formation energy, eV/atom: -0.016
E, eV/atom: -1.284

Cell: 10.167 10.167 10.167 Å, 90.00 90.00 90.00°
Space group Im-3 (No. 204)
Symmetry-distinct sites (fractional):
Ba: 0.000 0.000 0.000 x2
Sn: 0.250 0.250 0.250 x8
Hg: 0.000 0.150 0.352 x24

---

Record 6
BaRhC2I: relaxed, GGA-PBE.

Output
Calculated volume, Å³/cell: 139.2
E, eV/atom: -3.058
ΔE_f (raw), eV per atom: 2.80

Cell: 4.868 4.868 5.876 Å, 90.00 90.00 90.00°
Space group P4/mmm (No. 123)
Symmetry-distinct sites (fractional):
Ba: 0.000 0.000 0.000 x1
Rh: 0.000 0.000 0.500 x1
C: 0.000 0.500 0.000 x2
I: 0.500 0.500 0.500 x1

---

Record 7
TmHfZn6: relaxed, GGA-PBE.

Output
Calculated volume, Å³/cell: 274.2
Calculated formation energy, eV/atom: -0.241
E, eV/atom: -2.999

Cell: 4.352 6.342 9.932 Å, 90.00 90.00 90.00°
Space group Amm2 (No. 38)
Symmetry-distinct sites (fractional):
Tm: 0.000 0.000 0.000 x2
Hf: 0.500 0.000 0.720 x2
Zn: 0.000 0.000 0.536 x2
Zn: 0.000 0.213 0.269 x4
Zn: 0.500 0.000 0.197 x2
Zn: 0.500 0.209 0.448 x4

---

Record 8
TlCr2Ag: relaxed, GGA-PBE.

Output
Calculated volume, Å³/cell: 148.5
Calculated formation energy, eV/atom: 0.612
E, eV/atom: -5.504

Cell: 6.445 7.202 3.200 Å, 90.00 90.00 90.00°
Space group Cmmm (No. 65)
Symmetry-distinct sites (fractional):
Tl: 0.000 0.000 0.000 x2
Cr: 0.250 0.250 0.500 x4
Ag: 0.000 0.500 0.000 x2

---

Record 9
As2IrBr: relaxed, GGA-PBE.

Output
Calculated volume, Å³/cell: 72.5
E, eV/atom: -4.255
ΔE_f (raw), eV per atom: 0.70
Energy above the most stable polymorph in this dataset, kJ/mol of formula units: 341

Cell: 4.912 4.912 3.007 Å, 90.00 90.00 90.00°
Space group P4/mmm (No. 123)
Symmetry-distinct sites (fractional):
As: 0.000 0.500 0.000 x2
Ir: 0.000 0.000 0.500 x1
Br: 0.500 0.500 0.500 x1

---

Record 10
FeSiP2: relaxed, GGA-PBE.

Output
Calculated volume, Å³/cell: 103.6
E, eV/atom: -5.836
ΔE_f (raw), eV per atom: 0.34

Cell: 3.091 4.458 7.517 Å, 90.00 90.00 90.00°
Space group Imm2 (No. 44)
Symmetry-distinct sites (fractional):
Fe: 0.000 0.000 0.000 x2
Si: 0.000 0.500 0.217 x2
P: 0.000 0.000 0.480 x2
P: 0.000 0.500 0.745 x2

---

Record 11
CdFeAu3: relaxed, GGA-PBE.

Output
Calculated volume, Å³/cell: 114.8
Calculated formation energy, eV/atom: 0.574
E, eV/atom: -3.268
Energy above the most stable polymorph in this dataset, kJ/mol of formula units: 0

Cell: 4.860 4.860 4.860 Å, 90.00 90.00 90.00°
Space group Pm-3m (No. 221)
Symmetry-distinct sites (fractional):
Cd: 0.000 0.000 0.000 x1
Fe: 0.500 0.500 0.500 x1
Au: 0.000 0.500 0.500 x3

---

Record 12
Nd2Ga2Fe2C: relaxed, GGA-PBE.

Output
Calculated volume, Å³/cell: 251.5
Calculated formation energy, eV/atom: -0.382
E, eV/atom: -6.345

Cell: 11.102 4.091 7.220 Å, 90.00 129.90 90.00°
Space group C2/m (No. 12)
Symmetry-distinct sites (fractional):
Nd: 0.056 0.000 0.288 x4
Ga: 0.171 0.500 0.729 x4
Fe: 0.190 0.500 0.085 x4
C: 0.000 0.500 0.000 x2